#1
Be2ZnPb | PBE | relaxed

Calculated values
Crystal system: monoclinic
Total moment (μB per cell): 0.00

```
8
Lattice="6.750 0.000 0.000 0.000 3.897 0.000 -2.404 0.000 5.301" Properties=species:S:1:pos:R:3 pbc="T T T"
Be 0.000 0.000 0.000
Be 1.121 1.949 0.107
Be 3.375 1.949 0.000
Be 4.496 0.000 0.107
Zn -0.150 0.000 4.825
Zn 3.226 1.949 4.825
Pb 2.156 0.000 2.485
Pb 5.531 1.949 2.485
```


#2
Be2ZnPb | PBE | relaxed

Calculated values
Crystal system: monoclinic
Total moment (μB per cell): 0.00

```
4
Lattice="3.755 0.000 0.000 0.000 3.875 0.000 -1.781 0.000 4.414" Properties=species:S:1:pos:R:3 pbc="T T T"
Be 0.000 0.000 0.000
Be 0.011 1.937 1.051
Zn 0.065 1.937 3.756
Pb 1.876 0.000 1.876
```


#3
Be2ZnPb | PBE | relaxed

Calculated values
Crystal system: orthorhombic
Total moment (μB per cell): 0.00

```
8
Lattice="4.138 0.000 0.000 0.000 5.602 0.000 0.000 0.000 5.947" Properties=species:S:1:pos:R:3 pbc="T T T"
Be 0.000 0.000 1.054
Be 0.000 0.000 4.893
Be 2.069 2.801 1.919
Be 2.069 2.801 4.028
Zn 0.000 2.801 2.974
Zn 2.069 0.000 0.000
Pb 0.000 2.801 0.000
Pb 2.069 0.000 2.974
```


#4
Be2ZnPb | PBE | relaxed

Calculated values
Crystal system: tetragonal
Total moment (μB per cell): 0.00

```
4
Lattice="4.101 0.000 0.000 0.000 4.101 0.000 0.000 0.000 3.805" Properties=species:S:1:pos:R:3 pbc="T T T"
Be 0.000 2.050 0.000
Be 2.050 0.000 0.000
Zn 0.000 0.000 1.902
Pb 2.050 2.050 1.902
```


#1 is the most stable structure; the next one sits 14.5 kJ/mol of atoms above it.


#1
Be2ZnPb | PBE | relaxed

Calculated values
Crystal system: tetragonal
Total moment (μB per cell): 0.00

```
8
Lattice="3.946 0.000 0.000 0.000 3.946 0.000 0.000 0.000 8.251" Properties=species:S:1:pos:R:3 pbc="T T T"
Be 0.000 0.000 0.000
Be 0.000 1.973 2.063
Be 1.973 0.000 6.188
Be 1.973 1.973 4.125
Zn 0.000 0.000 4.125
Zn 1.973 1.973 0.000
Pb 0.000 1.973 6.188
Pb 1.973 0.000 2.063
```


#2
Be2ZnPb | PBE | relaxed

Calculated values
Crystal system: tetragonal
Total moment (μB per cell): 0.00

```
4
Lattice="3.169 0.000 0.000 0.000 3.169 0.000 0.000 0.000 6.579" Properties=species:S:1:pos:R:3 pbc="T T T"
Be 0.000 0.000 1.119
Be 0.000 0.000 5.460
Zn 1.585 1.585 0.000
Pb 1.585 1.585 3.289
```


#3
Be2ZnPb | PBE | relaxed

Calculated values
Crystal system: orthorhombic
Total moment (μB per cell): 0.00

```
8
Lattice="2.982 0.000 0.000 0.000 3.866 0.000 0.000 0.000 11.606" Properties=species:S:1:pos:R:3 pbc="T T T"
Be 0.000 0.000 0.000
Be 0.000 1.933 4.135
Be 1.491 0.000 9.938
Be 1.491 1.933 5.803
Zn 0.000 0.000 5.622
Zn 1.491 1.933 11.425
Pb 0.000 1.933 8.362
Pb 1.491 0.000 2.559
```


#4
Be2ZnPb | PBE | relaxed

Calculated values
Crystal system: tetragonal
Total moment (μB per cell): 0.00

```
8
Lattice="4.080 0.000 0.000 0.000 4.080 0.000 0.000 0.000 7.735" Properties=species:S:1:pos:R:3 pbc="T T T"
Be 0.000 2.040 1.934
Be 0.000 2.040 5.801
Be 2.040 0.000 1.934
Be 2.040 0.000 5.801
Zn 0.000 0.000 0.000
Zn 2.040 2.040 3.867
Pb 0.000 0.000 3.867
Pb 2.040 2.040 0.000
```


#3 is the most stable structure; the next one sits 9.3 kJ/mol of atoms above it.


#1
Be2ZnPb | PBE | relaxed

Calculated values
Crystal system: orthorhombic
Total moment (μB per cell): 0.00

```
8
Lattice="4.121 0.000 0.000 0.000 5.136 0.000 0.000 0.000 6.364" Properties=species:S:1:pos:R:3 pbc="T T T"
Be 0.000 0.000 1.093
Be 0.000 0.000 5.271
Be 2.060 2.568 1.093
Be 2.060 2.568 5.271
Zn 0.000 2.568 0.000
Zn 2.060 0.000 0.000
Pb 0.000 2.568 3.182
Pb 2.060 0.000 3.182
```


#2
Be2ZnPb | PBE | relaxed

Calculated values
Crystal system: trigonal
Total moment (μB per cell): 0.00

```
12
Lattice="3.097 0.000 0.000 -1.548 2.682 0.000 0.000 0.000 24.360" Properties=species:S:1:pos:R:3 pbc="T T T"
Be 0.000 0.000 5.715
Be 0.000 0.000 18.644
Be 0.000 1.788 10.525
Be 0.000 1.788 21.955
Be 1.548 0.894 2.405
Be 1.548 0.894 13.835
Zn 0.000 0.000 12.180
Zn 0.000 1.788 4.060
Zn 1.548 0.894 20.300
Pb 0.000 0.000 0.000
Pb 0.000 1.788 16.240
Pb 1.548 0.894 8.120
```


#3
Be2ZnPb | PBE | relaxed

Calculated values
Crystal system: monoclinic
Total moment (μB per cell): 0.00

```
4
Lattice="2.972 0.000 0.000 0.000 3.976 0.000 -1.480 0.000 5.782" Properties=species:S:1:pos:R:3 pbc="T T T"
Be 0.045 0.000 2.037
Be 1.447 0.000 3.744
Zn -0.740 1.988 2.891
Pb 0.000 1.988 0.000
```


#3 is the most stable structure; the next one sits 3.1 kJ/mol of atoms above it.


#1
BeZn3Pb | PBE | relaxed

Calculated values
Crystal system: cubic
Total moment (μB per cell): 0.00

```
5
Lattice="5.372 0.000 0.000 0.000 5.372 0.000 0.000 0.000 5.372" Properties=species:S:1:pos:R:3 pbc="T T T"
Be 0.000 0.000 0.000
Zn 0.000 2.686 2.686
Zn 2.686 0.000 2.686
Zn 2.686 2.686 0.000
Pb 2.686 2.686 2.686
```


#2
BeZn3Pb | PBE | relaxed

Calculated values
Crystal system: cubic
Total moment (μB per cell): 0.00

```
5
Lattice="4.525 0.000 0.000 0.000 4.525 0.000 0.000 0.000 4.525" Properties=species:S:1:pos:R:3 pbc="T T T"
Be 0.000 0.000 0.000
Zn 0.000 0.000 2.263
Zn 0.000 2.263 0.000
Zn 2.263 0.000 0.000
Pb 2.263 2.263 2.263
```


#2 is the most stable structure; the next one sits 78.3 kJ/mol of atoms above it.


#1
BeZn2Pb | PBE | relaxed

Calculated values
Crystal system: cubic
Total moment (μB per cell): 0.00

```
16
Lattice="6.715 0.000 0.000 0.000 6.715 0.000 0.000 0.000 6.715" Properties=species:S:1:pos:R:3 pbc="T T T"
Be 0.000 0.000 0.000
Be 0.000 3.358 3.358
Be 3.358 0.000 3.358
Be 3.358 3.358 0.000
Zn 1.679 1.679 1.679
Zn 1.679 1.679 5.036
Zn 1.679 5.036 1.679
Zn 1.679 5.036 5.036
Zn 5.036 1.679 1.679
Zn 5.036 1.679 5.036
Zn 5.036 5.036 1.679
Zn 5.036 5.036 5.036
Pb 0.000 0.000 3.358
Pb 0.000 3.358 0.000
Pb 3.358 0.000 0.000
Pb 3.358 3.358 3.358
```


#2
BeZn2Pb | PBE | relaxed

Calculated values
Crystal system: monoclinic
Total moment (μB per cell): 0.00

```
8
Lattice="7.909 0.000 0.000 0.000 3.358 0.000 -1.409 0.000 5.605" Properties=species:S:1:pos:R:3 pbc="T T T"
Be 0.000 0.000 0.000
Be 3.955 1.679 0.000
Zn 1.538 1.679 0.850
Zn 1.007 0.000 4.755
Zn 5.493 0.000 0.850
Zn 4.962 1.679 4.755
Pb -0.704 1.679 2.802
Pb 3.250 0.000 2.802
```


#3
BeZn2Pb | PBE | relaxed

Calculated values
Crystal system: monoclinic
Total moment (μB per cell): 0.00

```
8
Lattice="7.107 0.000 0.000 0.000 4.105 0.000 -2.483 0.000 5.275" Properties=species:S:1:pos:R:3 pbc="T T T"
Be 0.000 0.000 0.000
Be 3.554 2.053 0.000
Zn -1.306 2.053 5.138
Zn 2.353 0.000 0.703
Zn 2.248 0.000 5.138
Zn 5.907 2.053 0.703
Pb -0.068 0.000 2.893
Pb 3.486 2.053 2.893
```


#3 is the most stable structure; the next one sits 8.7 kJ/mol of atoms above it.


#1
BeZn2Pb | PBE | relaxed

Calculated values
Crystal system: monoclinic
Total moment (μB per cell): 0.00

```
4
Lattice="3.827 0.000 0.000 0.000 4.151 0.000 -1.112 0.000 4.777" Properties=species:S:1:pos:R:3 pbc="T T T"
Be 0.000 0.000 0.000
Zn -0.454 2.076 3.712
Zn 3.169 2.076 1.065
Pb 1.357 0.000 2.388
```


#2
BeZn2Pb | PBE | relaxed

Calculated values
Crystal system: tetragonal
Total moment (μB per cell): 0.00

```
8
Lattice="4.209 0.000 0.000 0.000 4.209 0.000 0.000 0.000 8.194" Properties=species:S:1:pos:R:3 pbc="T T T"
Be 0.000 0.000 0.000
Be 2.105 2.105 4.097
Zn 0.000 0.000 4.097
Zn 0.000 2.105 2.049
Zn 2.105 0.000 6.146
Zn 2.105 2.105 0.000
Pb 0.000 2.105 6.146
Pb 2.105 0.000 2.049
```


#3
BeZn2Pb | PBE | relaxed

Calculated values
Crystal system: orthorhombic
Total moment (μB per cell): 0.00

```
4
Lattice="3.038 0.000 0.000 0.000 3.295 0.000 0.000 0.000 7.331" Properties=species:S:1:pos:R:3 pbc="T T T"
Be 0.000 0.000 0.000
Zn 0.000 0.000 4.729
Zn 1.519 1.647 6.337
Pb 1.519 1.647 2.304
```


#1 is the most stable structure; the next one sits 1.7 kJ/mol of atoms above it.


#1
BeZn2Pb | PBE | relaxed

Calculated values
Crystal system: monoclinic
Total moment (μB per cell): 0.00

```
8
Lattice="5.123 0.000 0.000 0.000 10.785 0.000 -1.519 0.000 2.706" Properties=species:S:1:pos:R:3 pbc="T T T"
Be 0.000 0.000 0.000
Be 2.561 5.392 0.000
Zn 1.281 2.696 0.000
Zn 1.281 8.089 0.000
Zn 3.842 2.696 0.000
Zn 3.842 8.089 0.000
Pb 0.000 5.392 0.000
Pb 2.561 0.000 0.000
```


#2
BeZn2Pb | PBE | relaxed

Calculated values
Crystal system: trigonal
Total moment (μB per cell): 0.00

```
12
Lattice="3.139 0.000 0.000 -1.569 2.718 0.000 0.000 0.000 26.424" Properties=species:S:1:pos:R:3 pbc="T T T"
Be 0.000 0.000 0.000
Be 0.000 1.812 17.616
Be 1.569 0.906 8.808
Zn 0.000 0.000 7.157
Zn 0.000 0.000 19.267
Zn 0.000 1.812 10.459
Zn 0.000 1.812 24.773
Zn 1.569 0.906 1.651
Zn 1.569 0.906 15.965
Pb 0.000 0.000 13.212
Pb 0.000 1.812 4.404
Pb 1.569 0.906 22.020
```


#3
BeZn2Pb | PBE | relaxed

Calculated values
Crystal system: tetragonal
Total moment (μB per cell): 0.00

```
4
Lattice="3.078 0.000 0.000 0.000 3.078 0.000 0.000 0.000 7.594" Properties=species:S:1:pos:R:3 pbc="T T T"
Be 0.000 0.000 0.000
Zn 1.539 1.539 1.324
Zn 1.539 1.539 6.270
Pb 0.000 0.000 3.797
```


#4
BeZn2Pb | PBE | relaxed

Calculated values
Crystal system: tetragonal
Total moment (μB per cell): 0.00

```
4
Lattice="3.995 0.000 0.000 0.000 3.995 0.000 0.000 0.000 4.535" Properties=species:S:1:pos:R:3 pbc="T T T"
Be 0.000 0.000 0.000
Zn 0.000 1.998 2.267
Zn 1.998 0.000 2.267
Pb 1.998 1.998 0.000
```


#3 is the most stable structure; the next one sits 4.4 kJ/mol of atoms above it.


#1
BeZn2Pb | PBE | relaxed

Calculated values
Crystal system: orthorhombic
Total moment (μB per cell): 0.00

```
8
Lattice="2.967 0.000 0.000 0.000 5.268 0.000 0.000 0.000 9.538" Properties=species:S:1:pos:R:3 pbc="T T T"
Be 0.000 0.000 0.000
Be 1.484 2.634 4.769
Zn 0.000 2.634 2.836
Zn 0.000 2.634 6.702
Zn 1.484 0.000 1.933
Zn 1.484 0.000 7.606
Pb 0.000 0.000 4.769
Pb 1.484 2.634 0.000
```


#2
BeZn2Pb | PBE | relaxed

Calculated values
Crystal system: tetragonal
Total moment (μB per cell): 0.00

```
8
Lattice="4.065 0.000 0.000 0.000 4.065 0.000 0.000 0.000 8.715" Properties=species:S:1:pos:R:3 pbc="T T T"
Be 0.000 0.000 0.000
Be 2.033 2.033 4.357
Zn 0.000 2.033 2.179
Zn 0.000 2.033 6.536
Zn 2.033 0.000 2.179
Zn 2.033 0.000 6.536
Pb 0.000 0.000 4.357
Pb 2.033 2.033 0.000
```


#1 is the most stable structure; the next one sits 6.2 kJ/mol of atoms above it.


#1
BeZn2Pb | PBE | relaxed

Calculated values
Crystal system: monoclinic
Total moment (μB per cell): 0.00

```
4
Lattice="3.391 0.000 0.000 0.000 4.024 0.000 -0.044 0.000 5.544" Properties=species:S:1:pos:R:3 pbc="T T T"
Be 0.000 0.000 0.000
Zn 1.650 0.000 3.846
Zn 3.346 2.012 4.192
Pb 1.684 2.012 1.363
```


#2
BeZn2Pb | PBE | relaxed

Calculated values
Crystal system: cubic
Total moment (μB per cell): 0.00

```
16
Lattice="6.669 0.000 0.000 0.000 6.669 0.000 0.000 0.000 6.669" Properties=species:S:1:pos:R:3 pbc="T T T"
Be 0.000 0.000 0.000
Be 0.000 3.334 3.334
Be 3.334 0.000 3.334
Be 3.334 3.334 0.000
Zn 0.000 0.000 3.334
Zn 0.000 3.334 0.000
Zn 1.667 1.667 5.002
Zn 1.667 5.002 1.667
Zn 3.334 0.000 0.000
Zn 3.334 3.334 3.334
Zn 5.002 1.667 1.667
Zn 5.002 5.002 5.002
Pb 1.667 1.667 1.667
Pb 1.667 5.002 5.002
Pb 5.002 1.667 5.002
Pb 5.002 5.002 1.667
```


#1 is the most stable structure; the next one sits 19.0 kJ/mol of atoms above it.


#1
BeZn2Pb | PBE | relaxed

Calculated values
Crystal system: orthorhombic
Total moment (μB per cell): 0.00

```
8
Lattice="3.047 0.000 0.000 0.000 3.919 0.000 0.000 0.000 12.479" Properties=species:S:1:pos:R:3 pbc="T T T"
Be 0.000 0.000 0.000
Be 1.524 1.959 6.239
Zn 0.000 0.000 6.201
Zn 0.000 1.959 4.340
Zn 1.524 0.000 10.580
Zn 1.524 1.959 12.440
Pb 0.000 1.959 8.717
Pb 1.524 0.000 2.478
```


#2
BeZn2Pb | PBE | relaxed

Calculated values
Crystal system: tetragonal
Total moment (μB per cell): 0.00

```
16
Lattice="4.411 0.000 0.000 0.000 4.411 0.000 0.000 0.000 16.388" Properties=species:S:1:pos:R:3 pbc="T T T"
Be 0.000 0.000 0.000
Be 0.000 2.205 4.097
Be 2.205 0.000 12.291
Be 2.205 2.205 8.194
Zn 0.540 3.308 2.048
Zn 1.103 0.540 14.339
Zn 1.103 1.665 6.145
Zn 1.665 3.308 10.242
Zn 2.746 1.103 10.242
Zn 3.308 2.746 6.145
Zn 3.308 3.871 14.339
Zn 3.871 1.103 2.048
Pb 0.000 0.000 8.194
Pb 0.000 2.205 12.291
Pb 2.205 0.000 4.097
Pb 2.205 2.205 0.000
```


#1 is the most stable structure; the next one sits 4.9 kJ/mol of atoms above it.